First-principles (PBE) data for Ta2CuAg after structural relaxation, as listed in Alexandria.

a = 4.587 Å, b = 4.587 Å, c = 4.587 Å
α = 60.00°, β = 60.00°, γ = 60.00°
Element x y z (fractional)
1 Ta 0.000 0.000 0.000
2 Ta 0.250 0.250 0.250
3 Cu 0.750 0.750 0.750
4 Ag 0.500 0.500 0.500

Output
E above lowest polymorph (meV per atom): 459
Theoretical density (Mg/m³): 13.0
Calculated total energy (eV/atom): -7.084
Magnetization (μB per cell): 0.74
Energy of formation from the pure elements (eV per atom): 0.5787
N(E_F) (states/eV per cell): 5.626



First-principles (PBE) data for Pr8Sb4Se3S after structural relaxation, as listed in Alexandria.

a = 8.782 Å, b = 8.782 Å, c = 8.782 Å
α = 60.28°, β = 60.28°, γ = 60.28°
Element x y z (fractional)
1 Pr 0.247 0.247 0.247
2 Pr 0.251 0.743 0.743
3 Pr 0.257 0.257 0.749
4 Pr 0.257 0.749 0.257
5 Pr 0.743 0.251 0.743
6 Pr 0.743 0.743 0.251
7 Pr 0.749 0.257 0.257
8 Pr 0.753 0.753 0.753
9 Sb 0.000 0.000 0.000
10 Sb 0.000 0.500 0.500
11 Sb 0.500 0.000 0.500
12 Sb 0.500 0.500 0.000
13 Se 0.000 0.000 0.500
14 Se 0.000 0.500 0.000
15 Se 0.500 0.000 0.000
16 S 0.500 0.500 0.500

Output
E_form (uncorrected) (eV per atom): -1.5343
Theoretical density (Mg/m³): 6.5
Calculated total energy (eV/atom): -5.866
Magnetization (μB per cell): 0.00
N(E_F) (states/eV per cell): 7.098



First-principles (PBE) data for Hf3P after structural relaxation, as listed in Alexandria.

a = 5.483 Å, b = 5.483 Å, c = 8.437 Å
α = 90.00°, β = 90.00°, γ = 142.54°
Element x y z (fractional)
1 Hf 0.064 0.936 0.750
2 Hf 0.362 0.638 0.544
3 Hf 0.362 0.638 0.956
4 Hf 0.638 0.362 0.044
5 Hf 0.638 0.362 0.456
6 Hf 0.936 0.064 0.250
7 P 0.232 0.768 0.250
8 P 0.768 0.232 0.750

Output
E above lowest polymorph (meV per atom): 21
Theoretical density (Mg/m³): 12.2
Calculated total energy (eV/atom): -9.593
Magnetization (μB per cell): 0.00
Energy of formation from the pure elements (eV per atom): -0.7756
N(E_F) (states/eV per cell): 5.676



First-principles (PBE) data for Mg2MoAs after structural relaxation, as listed in Alexandria.

a = 2.879 Å, b = 2.879 Å, c = 8.703 Å
α = 90.00°, β = 90.00°, γ = 90.00°
Element x y z (fractional)
1 Mg 0.000 0.000 0.245
2 Mg 0.000 0.000 0.755
3 Mo 0.500 0.500 0.000
4 As 0.500 0.500 0.500

Output
Theoretical density (Mg/m³): 5.1
Calculated total energy (eV/atom): -4.553
Magnetization (μB per cell): 0.00
Energy of formation from the pure elements (eV per atom): 0.1146
N(E_F) (states/eV per cell): 2.144



- magnetization of number 4 (Mg2MoAs)?
  0.00 μB per cell



- Which value of theoretical density does entry 4 give?
  5.1 Mg/m³



- The lowest N(E_F) belongs to which entry?
  Mg2MoAs



- Which of these has the highest N(E_F)?
  Pr8Sb4Se3S